[1]
# Sc3TcO | Alexandria via LeMat-Bulk | PBE | optimized geometry
# Crystal system: monoclinic
# ΔE to the lowest computed polymorph in kJ/mol of formula units: 72
# Formation energy from raw total energies in eV/atom: -1.17
# Raw total energy in eV per cell: -80.37
# Density in g/cm3: 4.654
# Total magnetization in μB/cell: 0.00
data_Sc3TcO
_chemical_formula_sum 'Sc6 Tc2 O2'
_cell_length_a 6.745
_cell_length_b 6.745
_cell_length_c 6.177
_cell_angle_alpha 90.33
_cell_angle_beta 90.33
_cell_angle_gamma 39.19
_symmetry_space_group_name_H-M 'P 1'
_symmetry_Int_Tables_number 1
loop_
_symmetry_equiv_pos_as_xyz
'x,y,z'
loop_
_atom_site_label
_atom_site_fract_x
_atom_site_fract_y
_atom_site_fract_z
_atom_site_occupancy
Sc1 0.044 0.044 0.233 1
Sc2 0.197 0.197 0.618 1
Sc3 0.374 0.374 0.070 1
Sc4 0.626 0.626 0.930 1
Sc5 0.803 0.803 0.382 1
Sc6 0.956 0.956 0.767 1
Tc1 0.409 0.409 0.564 1
Tc2 0.591 0.591 0.436 1
O1 0.118 0.118 0.918 1
O2 0.882 0.882 0.082 1


[2]
# V2PtRhN | Alexandria via LeMat-Bulk | PBE | optimized geometry
# Crystal system: tetragonal
# Formation energy from raw total energies in eV/atom: -0.52
# Raw total energy in eV per cell: -42.57
# Density in g/cm3: 10.925
# Total magnetization in μB/cell: 0.00
data_V2PtRhN
_chemical_formula_sum 'V2 Pt1 Rh1 N1'
_cell_length_a 3.930
_cell_length_b 3.930
_cell_length_c 4.073
_cell_angle_alpha 90.00
_cell_angle_beta 90.00
_cell_angle_gamma 90.00
_symmetry_space_group_name_H-M 'P 1'
_symmetry_Int_Tables_number 1
loop_
_symmetry_equiv_pos_as_xyz
'x,y,z'
loop_
_atom_site_label
_atom_site_fract_x
_atom_site_fract_y
_atom_site_fract_z
_atom_site_occupancy
V1 0.000 0.500 0.000 1
V2 0.500 0.000 0.000 1
Pt1 0.000 0.000 0.500 1
Rh1 0.500 0.500 0.500 1
N1 0.500 0.500 0.000 1


[3]
# Tb2Er4Mg5 | Alexandria via LeMat-Bulk | PBE | optimized geometry
# E_form in eV per atom: 0.23
# Crystal system: orthorhombic
# Raw total energy in eV per cell: -32.90
# Density in g/cm3: 5.383
# Total magnetization in μB/cell: 0.00
data_Tb2Er4Mg5
_chemical_formula_sum 'Tb2 Er4 Mg5'
_cell_length_a 12.122
_cell_length_b 11.454
_cell_length_c 5.897
_cell_angle_alpha 81.91
_cell_angle_beta 69.31
_cell_angle_gamma 28.79
_symmetry_space_group_name_H-M 'P 1'
_symmetry_Int_Tables_number 1
loop_
_symmetry_equiv_pos_as_xyz
'x,y,z'
loop_
_atom_site_label
_atom_site_fract_x
_atom_site_fract_y
_atom_site_fract_z
_atom_site_occupancy
Tb1 0.114 0.114 0.886 1
Tb2 0.886 0.886 0.114 1
Er1 0.206 0.542 0.458 1
Er2 0.458 0.794 0.206 1
Er3 0.542 0.206 0.794 1
Er4 0.794 0.458 0.542 1
Mg1 0.000 0.000 0.500 1
Mg2 0.250 0.250 0.250 1
Mg3 0.500 0.500 0.000 1
Mg4 0.500 0.500 0.500 1
Mg5 0.750 0.750 0.750 1


[4]
# LiMoBr2 | Alexandria via LeMat-Bulk | PBE | optimized geometry
# Crystal system: tetragonal
# ΔE to the lowest computed polymorph in kJ/mol of formula units: 51
# Formation energy from raw total energies in eV/atom: 0.02
# Raw total energy in eV per cell: -32.03
# Density in g/cm3: 3.976
# Total magnetization in μB/cell: 8.96
data_LiMoBr2
_chemical_formula_sum 'Li2 Mo2 Br4'
_cell_length_a 3.874
_cell_length_b 3.874
_cell_length_c 14.619
_cell_angle_alpha 90.00
_cell_angle_beta 90.00
_cell_angle_gamma 90.00
_symmetry_space_group_name_H-M 'P 1'
_symmetry_Int_Tables_number 1
loop_
_symmetry_equiv_pos_as_xyz
'x,y,z'
loop_
_atom_site_label
_atom_site_fract_x
_atom_site_fract_y
_atom_site_fract_z
_atom_site_occupancy
Li1 0.000 0.000 0.000 1
Li2 0.500 0.500 0.500 1
Mo1 0.000 0.500 0.750 1
Mo2 0.500 0.000 0.250 1
Br1 0.000 0.000 0.500 1
Br2 0.000 0.500 0.250 1
Br3 0.500 0.000 0.750 1
Br4 0.500 0.500 0.000 1


[5]
# K3InBr4 | Alexandria via LeMat-Bulk | PBE | optimized geometry
# Crystal system: tetragonal
# ΔE to the lowest computed polymorph in kJ/mol of formula units: 0
# Formation energy from raw total energies in eV/atom: -1.48
# Raw total energy in eV per cell: -49.10
# Density in g/cm3: 3.064
# Total magnetization in μB/cell: 0.00
data_K3InBr4
_chemical_formula_sum 'K6 In2 Br8'
_cell_length_a 6.682
_cell_length_b 6.682
_cell_length_c 13.392
_cell_angle_alpha 90.00
_cell_angle_beta 90.00
_cell_angle_gamma 90.00
_symmetry_space_group_name_H-M 'P 1'
_symmetry_Int_Tables_number 1
loop_
_symmetry_equiv_pos_as_xyz
'x,y,z'
loop_
_atom_site_label
_atom_site_fract_x
_atom_site_fract_y
_atom_site_fract_z
_atom_site_occupancy
K1 0.000 0.000 0.000 1
K2 0.000 0.500 0.250 1
K3 0.000 0.500 0.750 1
K4 0.500 0.000 0.250 1
K5 0.500 0.000 0.750 1
K6 0.500 0.500 0.500 1
In1 0.000 0.000 0.500 1
In2 0.500 0.500 0.000 1
Br1 0.000 0.000 0.250 1
Br2 0.000 0.000 0.750 1
Br3 0.000 0.500 0.000 1
Br4 0.000 0.500 0.500 1
Br5 0.500 0.000 0.000 1
Br6 0.500 0.000 0.500 1
Br7 0.500 0.500 0.250 1
Br8 0.500 0.500 0.750 1


[6]
# Tb12Dy7Pb | Alexandria via LeMat-Bulk | PBE | optimized geometry
# E_form in eV per atom: 0.17
# Crystal system: trigonal
# Raw total energy in eV per cell: -88.04
# Density in g/cm3: 8.100
# Total magnetization in μB/cell: 0.00
data_Tb12Dy7Pb
_chemical_formula_sum 'Tb12 Dy7 Pb1'
_cell_length_a 8.737
_cell_length_b 8.737
_cell_length_c 8.737
_cell_angle_alpha 88.99
_cell_angle_beta 88.99
_cell_angle_gamma 88.99
_symmetry_space_group_name_H-M 'P 1'
_symmetry_Int_Tables_number 1
loop_
_symmetry_equiv_pos_as_xyz
'x,y,z'
loop_
_atom_site_label
_atom_site_fract_x
_atom_site_fract_y
_atom_site_fract_z
_atom_site_occupancy
Tb1 0.007 0.340 0.885 1
Tb2 0.115 0.993 0.660 1
Tb3 0.124 0.342 0.468 1
Tb4 0.340 0.885 0.007 1
Tb5 0.342 0.468 0.124 1
Tb6 0.468 0.124 0.342 1
Tb7 0.532 0.876 0.658 1
Tb8 0.658 0.532 0.876 1
Tb9 0.660 0.115 0.993 1
Tb10 0.876 0.658 0.532 1
Tb11 0.885 0.007 0.340 1
Tb12 0.993 0.660 0.115 1
Dy1 0.217 0.628 0.760 1
Dy2 0.240 0.783 0.372 1
Dy3 0.372 0.240 0.783 1
Dy4 0.500 0.500 0.500 1
Dy5 0.628 0.760 0.217 1
Dy6 0.760 0.217 0.628 1
Dy7 0.783 0.372 0.240 1
Pb1 0.000 0.000 0.000 1


[7]
# Nd5GeBi2 | Alexandria via LeMat-Bulk | PBE | optimized geometry
# E_form in eV per atom: -0.39
# Crystal system: orthorhombic
# Raw total energy in eV per cell: -78.66
# Density in g/cm3: 6.696
# Total magnetization in μB/cell: 0.00
data_Nd5GeBi2
_chemical_formula_sum 'Nd10 Ge2 Bi4'
_cell_length_a 7.395
_cell_length_b 7.395
_cell_length_c 14.337
_cell_angle_alpha 90.00
_cell_angle_beta 90.00
_cell_angle_gamma 129.95
_symmetry_space_group_name_H-M 'P 1'
_symmetry_Int_Tables_number 1
loop_
_symmetry_equiv_pos_as_xyz
'x,y,z'
loop_
_atom_site_label
_atom_site_fract_x
_atom_site_fract_y
_atom_site_fract_z
_atom_site_occupancy
Nd1 0.054 0.946 0.621 1
Nd2 0.054 0.946 0.879 1
Nd3 0.313 0.687 0.250 1
Nd4 0.360 0.640 0.588 1
Nd5 0.360 0.640 0.912 1
Nd6 0.640 0.360 0.088 1
Nd7 0.640 0.360 0.412 1
Nd8 0.687 0.313 0.750 1
Nd9 0.946 0.054 0.121 1
Nd10 0.946 0.054 0.379 1
Ge1 0.222 0.778 0.750 1
Ge2 0.778 0.222 0.250 1
Bi1 0.180 0.820 0.069 1
Bi2 0.180 0.820 0.431 1
Bi3 0.820 0.180 0.569 1
Bi4 0.820 0.180 0.931 1


[8]
# YAsAuSe2 | Alexandria via LeMat-Bulk | PBE | optimized geometry
# Crystal system: tetragonal
# ΔE to the lowest computed polymorph in kJ/mol of formula units: 163
# Formation energy from raw total energies in eV/atom: 0.24
# Raw total energy in eV per cell: -20.16
# Density in g/cm3: 5.348
# Total magnetization in μB/cell: 0.82
data_YAsAuSe2
_chemical_formula_sum 'Y1 As1 Au1 Se2'
_cell_length_a 5.390
_cell_length_b 5.390
_cell_length_c 5.545
_cell_angle_alpha 90.00
_cell_angle_beta 90.00
_cell_angle_gamma 90.00
_symmetry_space_group_name_H-M 'P 1'
_symmetry_Int_Tables_number 1
loop_
_symmetry_equiv_pos_as_xyz
'x,y,z'
loop_
_atom_site_label
_atom_site_fract_x
_atom_site_fract_y
_atom_site_fract_z
_atom_site_occupancy
Y1 0.000 0.000 0.000 1
As1 0.000 0.000 0.500 1
Au1 0.500 0.500 0.500 1
Se1 0.000 0.500 0.000 1
Se2 0.500 0.000 0.000 1


[9]
# Tb2TlSn | Alexandria via LeMat-Bulk | PBE | optimized geometry
# E_form in eV per atom: -0.39
# Crystal system: trigonal
# Raw total energy in eV per cell: -51.57
# Density in g/cm3: 9.043
# Total magnetization in μB/cell: 0.00
data_Tb2TlSn
_chemical_formula_sum 'Tb6 Tl3 Sn3'
_cell_length_a 3.823
_cell_length_b 3.823
_cell_length_c 27.887
_cell_angle_alpha 90.00
_cell_angle_beta 90.00
_cell_angle_gamma 120.00
_symmetry_space_group_name_H-M 'P 1'
_symmetry_Int_Tables_number 1
loop_
_symmetry_equiv_pos_as_xyz
'x,y,z'
loop_
_atom_site_label
_atom_site_fract_x
_atom_site_fract_y
_atom_site_fract_z
_atom_site_occupancy
Tb1 0.000 0.000 0.248 1
Tb2 0.000 0.000 0.752 1
Tb3 0.333 0.667 0.419 1
Tb4 0.333 0.667 0.915 1
Tb5 0.667 0.333 0.085 1
Tb6 0.667 0.333 0.581 1
Tl1 0.000 0.000 0.000 1
Tl2 0.333 0.667 0.667 1
Tl3 0.667 0.333 0.333 1
Sn1 0.000 0.000 0.500 1
Sn2 0.333 0.667 0.167 1
Sn3 0.667 0.333 0.833 1


[10]
# Ce3ErTh2Sb6 | Alexandria via LeMat-Bulk | PBE | optimized geometry
# Crystal system: monoclinic
# Formation energy from raw total energies in eV/atom: -1.02
# Raw total energy in eV per cell: -74.17
# Density in g/cm3: 7.740
# Total magnetization in μB/cell: 2.93
data_Ce3ErTh2Sb6
_chemical_formula_sum 'Ce3 Er1 Th2 Sb6'
_cell_length_a 7.749
_cell_length_b 7.749
_cell_length_c 7.796
_cell_angle_alpha 99.55
_cell_angle_beta 99.55
_cell_angle_gamma 120.02
_symmetry_space_group_name_H-M 'P 1'
_symmetry_Int_Tables_number 1
loop_
_symmetry_equiv_pos_as_xyz
'x,y,z'
loop_
_atom_site_label
_atom_site_fract_x
_atom_site_fract_y
_atom_site_fract_z
_atom_site_occupancy
Ce1 0.000 0.000 0.000 1
Ce2 0.331 0.669 0.000 1
Ce3 0.669 0.331 0.000 1
Er1 0.500 0.500 0.500 1
Th1 0.166 0.834 0.500 1
Th2 0.834 0.166 0.500 1
Sb1 0.091 0.418 0.254 1
Sb2 0.256 0.256 0.749 1
Sb3 0.418 0.091 0.254 1
Sb4 0.582 0.909 0.746 1
Sb5 0.744 0.744 0.251 1
Sb6 0.909 0.582 0.746 1


[11]
# LaTmRu | Alexandria via LeMat-Bulk | PBE | optimized geometry
# E_form in eV per atom: -0.28
# Crystal system: tetragonal
# ΔE to the lowest computed polymorph in kJ/mol of formula units: 0
# Raw total energy in eV per cell: -39.05
# Density in g/cm3: 8.568
# Total magnetization in μB/cell: 0.00
data_LaTmRu
_chemical_formula_sum 'La2 Tm2 Ru2'
_cell_length_a 3.440
_cell_length_b 3.440
_cell_length_c 13.394
_cell_angle_alpha 90.00
_cell_angle_beta 90.00
_cell_angle_gamma 90.00
_symmetry_space_group_name_H-M 'P 1'
_symmetry_Int_Tables_number 1
loop_
_symmetry_equiv_pos_as_xyz
'x,y,z'
loop_
_atom_site_label
_atom_site_fract_x
_atom_site_fract_y
_atom_site_fract_z
_atom_site_occupancy
La1 0.000 0.000 0.000 1
La2 0.500 0.500 0.500 1
Tm1 0.000 0.000 0.251 1
Tm2 0.500 0.500 0.751 1
Ru1 0.000 0.000 0.636 1
Ru2 0.500 0.500 0.136 1


[12]
# RbLiTa2H | Alexandria via LeMat-Bulk | PBE | optimized geometry
# Crystal system: tetragonal
# Raw total energy in eV per cell: -13.62
# Density in g/cm3: 6.998
# Total magnetization in μB/cell: 0.00
data_RbLiTa2H
_chemical_formula_sum 'Rb1 Li1 Ta2 H1'
_cell_length_a 5.087
_cell_length_b 5.087
_cell_length_c 4.176
_cell_angle_alpha 90.00
_cell_angle_beta 90.00
_cell_angle_gamma 90.00
_symmetry_space_group_name_H-M 'P 1'
_symmetry_Int_Tables_number 1
loop_
_symmetry_equiv_pos_as_xyz
'x,y,z'
loop_
_atom_site_label
_atom_site_fract_x
_atom_site_fract_y
_atom_site_fract_z
_atom_site_occupancy
Rb1 0.000 0.000 0.000 1
Li1 0.000 0.000 0.500 1
Ta1 0.000 0.500 0.000 1
Ta2 0.500 0.000 0.000 1
H1 0.500 0.500 0.500 1


[13]
# Ac3NdGe4 | Alexandria via LeMat-Bulk | PBE | optimized geometry
# E_form in eV per atom: -0.62
# Crystal system: orthorhombic
# Raw total energy in eV per cell: -81.05
# Density in g/cm3: 7.180
# Total magnetization in μB/cell: 0.00
data_Ac3NdGe4
_chemical_formula_sum 'Ac6 Nd2 Ge8'
_cell_length_a 4.512
_cell_length_b 6.648
_cell_length_c 17.208
_cell_angle_alpha 90.00
_cell_angle_beta 90.00
_cell_angle_gamma 90.00
_symmetry_space_group_name_H-M 'P 1'
_symmetry_Int_Tables_number 1
loop_
_symmetry_equiv_pos_as_xyz
'x,y,z'
loop_
_atom_site_label
_atom_site_fract_x
_atom_site_fract_y
_atom_site_fract_z
_atom_site_occupancy
Ac1 0.000 0.000 0.000 1
Ac2 0.000 0.500 0.196 1
Ac3 0.000 0.500 0.804 1
Ac4 0.500 0.000 0.304 1
Ac5 0.500 0.000 0.696 1
Ac6 0.500 0.500 0.500 1
Nd1 0.000 0.000 0.500 1
Nd2 0.500 0.500 0.000 1
Ge1 0.000 0.311 0.373 1
Ge2 0.000 0.311 0.627 1
Ge3 0.000 0.689 0.373 1
Ge4 0.000 0.689 0.627 1
Ge5 0.500 0.189 0.127 1
Ge6 0.500 0.189 0.873 1
Ge7 0.500 0.811 0.127 1
Ge8 0.500 0.811 0.873 1


[14]
# Tb2SiCl | Alexandria via LeMat-Bulk | PBE | optimized geometry
# Crystal system: triclinic
# ΔE to the lowest computed polymorph in kJ/mol of formula units: 14
# Formation energy from raw total energies in eV/atom: -1.10
# Raw total energy in eV per cell: -20.92
# Density in g/cm3: 5.603
# Total magnetization in μB/cell: 0.00
data_Tb2SiCl
_chemical_formula_sum 'Tb2 Si1 Cl1'
_cell_length_a 4.173
_cell_length_b 4.173
_cell_length_c 7.489
_cell_angle_alpha 90.09
_cell_angle_beta 90.08
_cell_angle_gamma 119.92
_symmetry_space_group_name_H-M 'P 1'
_symmetry_Int_Tables_number 1
loop_
_symmetry_equiv_pos_as_xyz
'x,y,z'
loop_
_atom_site_label
_atom_site_fract_x
_atom_site_fract_y
_atom_site_fract_z
_atom_site_occupancy
Tb1 0.000 0.000 0.000 1
Tb2 0.335 0.669 0.390 1
Si1 0.668 0.335 0.201 1
Cl1 0.332 0.665 0.761 1


[15]
# HoZnGaCu | Alexandria via LeMat-Bulk | PBE | optimized geometry
# E_form in eV per atom: -0.32
# Crystal system: cubic
# Raw total energy in eV per cell: -56.99
# Density in g/cm3: 8.731
# Total magnetization in μB/cell: 0.00
data_HoZnGaCu
_chemical_formula_sum 'Ho4 Zn4 Ga4 Cu4'
_cell_length_a 6.516
_cell_length_b 6.516
_cell_length_c 6.516
_cell_angle_alpha 90.00
_cell_angle_beta 90.00
_cell_angle_gamma 90.00
_symmetry_space_group_name_H-M 'P 1'
_symmetry_Int_Tables_number 1
loop_
_symmetry_equiv_pos_as_xyz
'x,y,z'
loop_
_atom_site_label
_atom_site_fract_x
_atom_site_fract_y
_atom_site_fract_z
_atom_site_occupancy
Ho1 0.000 0.000 0.000 1
Ho2 0.000 0.500 0.500 1
Ho3 0.500 0.000 0.500 1
Ho4 0.500 0.500 0.000 1
Zn1 0.250 0.250 0.750 1
Zn2 0.250 0.750 0.250 1
Zn3 0.750 0.250 0.250 1
Zn4 0.750 0.750 0.750 1
Ga1 0.000 0.000 0.500 1
Ga2 0.000 0.500 0.000 1
Ga3 0.500 0.000 0.000 1
Ga4 0.500 0.500 0.500 1
Cu1 0.250 0.250 0.250 1
Cu2 0.250 0.750 0.750 1
Cu3 0.750 0.250 0.750 1
Cu4 0.750 0.750 0.250 1